# 1
The following is a DFT calculation (PBE+U) of a geometry-optimized ScFe2BiF structure.

E_tot = -3.760 eV/atom
space-group type = P4/mmm (123)

abc: 5.199 5.522 5.199
angles: 90.00 90.00 90.00
Site moments in Bohr magnetons follow the coordinates.
Element x y z (fractional)
F1 0.500 0.500 0.500  -0.10
Fe1 0.500 0.000 0.000  3.72
Sc1 0.000 0.000 0.000  -0.47
Fe2 0.000 0.000 0.500  3.58
Bi1 0.000 0.500 0.000  -0.24

# 2
The following is a DFT calculation (PBE+U) of a geometry-optimized FeBi2WF structure.

E_tot = -4.308 eV/atom
space-group type = P4/mmm (123)

abc: 5.738 5.738 4.098
angles: 90.00 90.00 90.00
Site moments in Bohr magnetons follow the coordinates.
Element x y z (fractional)
Fe1 0.500 0.500 0.500  3.75
F1 0.000 0.000 0.500  0.07
Bi1 0.000 0.500 0.000  -0.27
Bi2 0.500 0.000 0.000  -0.27
W1 0.000 0.000 0.000  2.55

# 3
The following is a DFT calculation (PBE+U) of a geometry-optimized ZnFeBi2F structure.

E_tot = -3.086 eV/atom
space-group type = P4/mmm (123)

abc: 5.165 4.776 5.165
angles: 90.00 90.00 90.00
Site moments in Bohr magnetons follow the coordinates.
Element x y z (fractional)
F1 0.500 0.500 0.500  -0.04
Zn1 0.000 0.500 0.000  -0.03
Bi1 0.000 0.000 0.500  -0.04
Fe1 0.000 0.000 0.000  3.14
Bi2 0.500 0.000 0.000  -0.21